The following is a PBE calculation of a relaxed structure of Ba2MnGaTe5, from Alexandria via LeMat-Bulk.

Properties
formation energy from raw total energies: -876 meV per atom
space group: Cmc2_1

Cell lengths 10.453, 10.453, 13.848 Å; angles 90.00, 90.00, 155.40 degrees
Element x y z (fractional)
Ba (0.124, 0.876, 0.500)
Ba (0.130, 0.870, 0.121)
Ba (0.870, 0.130, 0.621)
Ba (0.876, 0.124, 0.000)
Mn (0.211, 0.789, 0.833)
Mn (0.789, 0.211, 0.333)
Ga (0.428, 0.572, 0.240)
Ga (0.572, 0.428, 0.740)
Te (0.071, 0.929, 0.854)
Te (0.291, 0.709, 0.461)
Te (0.302, 0.698, 0.186)
Te (0.344, 0.656, 0.813)
Te (0.499, 0.501, 0.083)
Te (0.501, 0.499, 0.583)
Te (0.656, 0.344, 0.313)
Te (0.698, 0.302, 0.686)
Te (0.709, 0.291, 0.961)
Te (0.929, 0.071, 0.354)

---

The following is a PBE calculation of a relaxed structure of BaMnZnGa2, from Alexandria via LeMat-Bulk.

Properties
space group: P4/mmm
ΔE_f: -97 kJ/mol of formula units

Cell lengths 4.769, 4.769, 4.925 Å; angles 90.00, 90.00, 90.00 degrees
Element x y z (fractional)
Ba (0.000, 0.000, 0.000)
Mn (0.500, 0.500, 0.500)
Zn (0.500, 0.500, 0.000)
Ga (0.000, 0.500, 0.500)
Ga (0.500, 0.000, 0.500)

---

The following is a PBE calculation of a relaxed structure of BaMnZn2Ga, from Alexandria via LeMat-Bulk.

Properties
space group: P4/mmm
ΔE_f: -25 kJ/mol of formula units

Cell lengths 4.928, 4.928, 4.788 Å; angles 90.00, 90.00, 90.00 degrees
Element x y z (fractional)
Ba (0.000, 0.000, 0.000)
Mn (0.500, 0.500, 0.500)
Zn (0.000, 0.500, 0.500)
Zn (0.500, 0.000, 0.500)
Ga (0.500, 0.500, 0.000)

---

The following is a PBE calculation of a relaxed structure of BaGa3Mo, from Alexandria via LeMat-Bulk.

Properties
distance to the lowest polymorph of the same formula: 0 meV per atom
space group: Pm-3m
ΔE_f: -130 kJ/mol of formula units

Cell lengths 5.004, 5.004, 5.004 Å; angles 90.00, 90.00, 90.00 degrees
Element x y z (fractional)
Ba (0.000, 0.000, 0.000)
Ga (0.000, 0.500, 0.500)
Ga (0.500, 0.000, 0.500)
Ga (0.500, 0.500, 0.000)
Mo (0.500, 0.500, 0.500)

---

The following is a PBE calculation of a relaxed structure of Ba2Ga4Mo, from Alexandria via LeMat-Bulk.

Properties
space group: I4/mmm
ΔE_f: -148 kJ/mol of formula units

Cell lengths 9.179, 9.179, 9.179 Å; angles 148.33, 148.33, 45.40 degrees
Element x y z (fractional)
Ba (0.145, 0.145, 0.000)
Ba (0.855, 0.855, 0.000)
Ga (0.000, 0.500, 0.500)
Ga (0.355, 0.355, 0.000)
Ga (0.500, 0.000, 0.500)
Ga (0.645, 0.645, 0.000)
Mo (0.500, 0.500, 0.000)

---

The following is a PBE calculation of a relaxed structure of BaGaMo3, from Alexandria via LeMat-Bulk.

Properties
distance to the lowest polymorph of the same formula: 1536 meV per atom
space group: Pm-3m
ΔE_f: 1478 kJ/mol of formula units

Cell lengths 5.033, 5.033, 5.033 Å; angles 90.00, 90.00, 90.00 degrees
Element x y z (fractional)
Ba (0.000, 0.000, 0.000)
Ga (0.500, 0.500, 0.500)
Mo (0.000, 0.000, 0.500)
Mo (0.000, 0.500, 0.000)
Mo (0.500, 0.000, 0.000)

---

no.,final energy (eV/cell)
1,-79.28
2,-19.43
3,-16.93
4,-23.18
5,-28.32
6,-22.12